K2CuCl after structural relaxation. Source: Alexandria, functional PBE-GGA.

The structure in POSCAR format:
```
K2CuCl
1.0
0.000 3.947 3.947
3.947 0.000 3.947
3.947 3.947 0.000
K Cu Cl
2 1 1
Direct
0.000 0.000 0.000 K
0.250 0.250 0.250 K
0.500 0.500 0.500 Cu
0.750 0.750 0.750 Cl
```

Summary:
Theoretical density ... 2.39 g/cm³
Formation energy (no corrections) ... -328 meV per atom
Calculated volume ... 30.76 Å³ per atom

=====

KCu7Cl12 after structural relaxation. Source: Alexandria, functional PBE-GGA.

The structure in POSCAR format:
```
KCu7Cl12
1.0
-4.633 4.633 4.633
4.633 -4.633 4.633
4.633 4.633 -4.633
K Cu Cl
1 7 12
Direct
0.000 0.000 0.000 K
0.000 0.000 0.500 Cu
0.000 0.500 0.000 Cu
0.000 0.500 0.500 Cu
0.500 0.000 0.000 Cu
0.500 0.000 0.500 Cu
0.500 0.500 0.000 Cu
0.500 0.500 0.500 Cu
0.141 0.317 0.824 Cl
0.176 0.492 0.317 Cl
0.176 0.859 0.683 Cl
0.317 0.176 0.492 Cl
0.317 0.824 0.141 Cl
0.492 0.317 0.176 Cl
0.508 0.683 0.824 Cl
0.683 0.176 0.859 Cl
0.683 0.824 0.508 Cl
0.824 0.141 0.317 Cl
0.824 0.508 0.683 Cl
0.859 0.683 0.176 Cl
```

Summary:
Theoretical density ... 3.80 g/cm³
Formation energy (no corrections) ... -601 meV per atom
Calculated volume ... 19.89 Å³ per atom

=====

KCuCl4 after structural relaxation. Source: Alexandria, functional PBE-GGA.

The structure in POSCAR format:
```
KCuCl4
1.0
6.986 0.000 0.000
0.000 5.734 0.000
-5.020 0.000 8.406
K Cu Cl
2 2 8
Direct
0.000 0.000 0.000 K
0.000 0.500 0.500 K
0.500 0.000 0.500 Cu
0.500 0.500 0.000 Cu
0.138 0.014 0.384 Cl
0.138 0.486 0.884 Cl
0.471 0.721 0.338 Cl
0.471 0.779 0.838 Cl
0.529 0.221 0.162 Cl
0.529 0.279 0.662 Cl
0.862 0.514 0.116 Cl
0.862 0.986 0.616 Cl
```

Summary:
Theoretical density ... 2.41 g/cm³
Formation energy (no corrections) ... -916 meV per atom
Calculated volume ... 28.06 Å³ per atom

=====

K4CuCl after structural relaxation. Source: Alexandria, functional PBE-GGA.

The structure in POSCAR format:
```
K4CuCl
1.0
0.000 5.241 5.241
5.241 0.000 5.241
5.241 5.241 0.000
K Cu Cl
4 1 1
Direct
0.125 0.125 0.125 K
0.125 0.125 0.625 K
0.125 0.625 0.125 K
0.625 0.125 0.125 K
0.500 0.500 0.500 Cu
0.750 0.750 0.750 Cl
```

Summary:
Theoretical density ... 1.47 g/cm³
Formation energy (no corrections) ... 60 meV per atom
Calculated volume ... 47.99 Å³ per atom